Below is an optimized crystal structure of Sr8Ga2Ge, with properties calculated at the GGA-PBE level.

a b c (Å): 5.631 7.843 10.398
angles (deg): 107.28 105.71 90.00
Positions (direct):
1 Sr 0.406 0.563 0.811
2 Sr 0.666 0.963 0.332
3 Sr 0.792 0.684 0.585
4 Sr 0.968 0.204 0.936
5 Sr 0.208 0.316 0.415
6 Sr 0.334 0.037 0.668
7 Sr 0.594 0.437 0.189
8 Sr 0.032 0.796 0.064
9 Ga 0.817 0.295 0.634
10 Ga 0.183 0.705 0.366
11 Ge 0.500 0.000 0.000

Energy above the most stable polymorph in this dataset ... 0.0 meV/atom
Formation enthalpy at 0 K ... -0.255 eV/atom

Below is an optimized crystal structure of Zn2SiSn2, with properties calculated at the GGA-PBE level.

a b c (Å): 8.090 8.090 3.301
angles (deg): 90.00 90.00 90.00
Positions (direct):
1 Zn 0.111 0.611 0.500
2 Zn 0.611 0.889 0.500
3 Zn 0.889 0.389 0.500
4 Zn 0.389 0.111 0.500
5 Si 0.000 0.000 0.000
6 Si 0.500 0.500 0.000
7 Sn 0.309 0.809 0.000
8 Sn 0.809 0.691 0.000
9 Sn 0.691 0.191 0.000
10 Sn 0.191 0.309 0.000

Energy above the most stable polymorph in this dataset ... 101.5 meV/atom
ΔE_f (raw) ... 0.341 eV per atom

Below is an optimized crystal structure of TaCu2Ir, with properties calculated at the GGA-PBE level.

a b c (Å): 4.800 4.800 4.404
angles (deg): 77.22 77.22 36.07
Positions (direct):
1 Cu 0.003 0.003 0.998
2 Cu 0.497 0.497 0.502
3 Ir 0.750 0.750 0.750
4 Ta 0.250 0.250 0.250

Energy above the most stable polymorph in this dataset ... 115.7 meV/atom
Formation enthalpy at 0 K ... -0.083 eV/atom

Below is an optimized crystal structure of CsAlGe, with properties calculated at the GGA-PBE level.

a b c (Å): 4.411 7.504 8.049
angles (deg): 63.73 112.98 103.22
Positions (direct):
1 Cs 0.961 0.171 0.191
2 Cs 0.039 0.829 0.809
3 Ge 0.609 0.310 0.592
4 Ge 0.391 0.690 0.408
5 Al 0.769 0.570 0.299
6 Al 0.231 0.430 0.701

Formation enthalpy at 0 K ... -0.034 eV/atom

Below is an optimized crystal structure of PuCdGaO6, with properties calculated at the GGA-PBE level.

a b c (Å): 5.284 5.284 9.890
angles (deg): 90.00 90.00 120.00
Site moments in Bohr magnetons follow the coordinates.
Positions (direct):
1 Pu 0.667 0.333 0.250  1.43
2 Pu 0.333 0.667 0.750  1.43
3 Cd 0.000 0.000 0.000  -0.01
4 Cd 0.000 0.000 0.500  -0.01
5 Ga 0.333 0.667 0.250  0.00
6 Ga 0.667 0.333 0.750  0.00
7 O 0.642 0.643 0.139  -0.06
8 O 0.001 0.358 0.139  -0.06
9 O 0.358 0.001 0.639  -0.06
10 O 0.999 0.642 0.861  -0.06
11 O 0.357 0.358 0.361  -0.06
12 O 0.001 0.643 0.361  -0.06
13 O 0.643 0.001 0.861  -0.06
14 O 0.642 0.999 0.361  -0.06
15 O 0.999 0.357 0.639  -0.06
16 O 0.357 0.999 0.139  -0.06
17 O 0.643 0.642 0.639  -0.06
18 O 0.358 0.357 0.861  -0.06

ΔE_f (raw) ... -1.802 eV per atom

Below is an optimized crystal structure of Tm8Co2Bi, with properties calculated at the GGA-PBE level.

a b c (Å): 5.386 7.719 7.719
angles (deg): 113.25 97.10 97.10
Positions (direct):
1 Tm 0.918 0.928 0.663
2 Tm 0.918 0.663 0.928
3 Tm 0.291 0.602 0.602
4 Tm 0.500 0.748 0.252
5 Tm 0.500 0.252 0.748
6 Tm 0.709 0.398 0.398
7 Tm 0.082 0.337 0.072
8 Tm 0.082 0.072 0.337
9 Co 0.000 0.308 0.692
10 Co 0.000 0.692 0.308
11 Bi 0.500 0.000 0.000

Formation enthalpy at 0 K ... -0.201 eV/atom